(1)
A relaxed structure of Pm3PrHo8. Source: the Alexandria database, functional PBE-GGA.

```
12
Lattice="6.960 0.353 -4.844 -3.022 7.858 -1.142 -1.694 -0.353 8.308" Properties=species:S:1:pos:R:3 pbc="T T T"
Ho 3.516 5.481 -3.407
Ho -0.162 6.474 2.183
Ho 4.186 1.385 1.311
Ho 2.200 2.731 -1.408
Ho 5.106 0.853 -2.051
Ho -0.533 3.262 0.784
Ho 2.753 4.596 1.523
Ho -2.885 7.005 4.359
Pm 1.463 1.878 3.533
Pm -1.488 3.753 4.155
Pm 0.802 5.980 -1.196
Pr 0.867 0.000 0.570
```

## Properties
- formation energy (eV/atom) = 0.02
- total magnetization (Bohr magnetons per cell) = 0.000
- crystal system = orthorhombic

***

(2)
A relaxed structure of Pm2PrHo12. Source: the Alexandria database, functional PBE-GGA.

```
30
Lattice="6.434 0.000 0.000 0.000 6.434 0.000 0.000 0.000 24.737" Properties=species:S:1:pos:R:3 pbc="T T T"
Ho 3.217 3.217 5.288
Ho 1.608 1.609 2.843
Ho 1.608 4.825 21.894
Ho 0.000 0.000 19.449
Ho 4.825 4.825 2.843
Ho 3.217 3.217 19.449
Ho 4.825 4.825 21.894
Ho 3.217 3.217 16.367
Ho 4.825 1.609 21.894
Ho 0.000 0.000 8.370
Ho 2.131 1.086 13.868
Ho 1.086 4.303 13.868
Ho 3.217 3.217 8.370
Ho 1.609 4.825 2.843
Ho 4.825 1.608 2.843
Ho 5.348 2.131 13.868
Ho 5.348 4.303 10.869
Ho 2.131 5.348 10.869
Ho 4.303 1.086 10.869
Ho 1.086 2.131 10.869
Ho 1.609 1.608 21.894
Ho 0.000 0.000 5.288
Ho 4.303 5.348 13.868
Ho 0.000 0.000 16.367
Pr 0.000 3.217 0.000
Pr 3.217 0.000 0.000
Pm 3.217 0.000 6.448
Pm 0.000 3.217 18.289
Pm 0.000 3.217 6.448
Pm 3.217 0.000 18.289
```

## Properties
- formation energy (eV/atom) = 0.36
- total magnetization (Bohr magnetons per cell) = 0.000
- crystal system = tetragonal

***

(3)
A relaxed structure of PmPr6Ho5. Source: the Alexandria database, functional PBE-GGA.

```
12
Lattice="11.321 -0.872 0.000 2.693 4.402 0.000 1.346 2.201 7.766" Properties=species:S:1:pos:R:3 pbc="T T T"
Pr 6.210 5.279 5.173
Pr 10.497 2.653 5.173
Pr 10.497 2.652 0.000
Pr 9.150 0.452 2.593
Pr 3.517 0.878 0.000
Pr 4.864 3.078 2.593
Pm 0.000 0.000 0.000
Ho 2.693 4.402 5.159
Ho 7.007 1.765 5.181
Ho 1.346 2.201 2.608
Ho 8.353 3.966 2.586
Ho 7.007 1.765 0.000
```

## Properties
- formation energy (eV/atom) = 0.02
- total magnetization (Bohr magnetons per cell) = 0.000
- crystal system = orthorhombic

***

(4)
A relaxed structure of Pm5Pr12Ho. Source: the Alexandria database, functional PBE-GGA.

```
18
Lattice="12.389 -0.031 0.034 6.172 8.744 0.016 -0.016 0.000 5.838" Properties=species:S:1:pos:R:3 pbc="T T T"
Pm 12.709 2.353 2.955
Pm 5.836 6.361 2.934
Pm 6.492 2.377 5.856
Pm 12.053 6.336 0.033
Pm 6.186 -0.016 2.936
Pr 8.211 5.815 5.861
Pr 4.128 2.917 2.929
Pr 14.092 3.354 0.040
Pr 14.799 8.252 5.878
Pr 10.334 2.898 0.029
Pr 9.980 0.447 2.946
Pr 3.746 0.461 0.011
Pr 4.453 5.359 5.849
Pr 7.889 3.380 2.941
Pr 10.656 5.333 2.948
Pr 8.565 8.266 2.943
Pr 14.417 5.796 2.960
Ho 0.000 0.000 0.000
```

## Properties
- formation energy (eV/atom) = 0.05
- total magnetization (Bohr magnetons per cell) = 0.000
- crystal system = monoclinic

***

(5)
A relaxed structure of Pm10PrHo4. Source: the Alexandria database, functional PBE-GGA.

```
15
Lattice="9.864 0.000 4.454 4.932 7.045 2.227 2.033 0.000 8.648" Properties=species:S:1:pos:R:3 pbc="T T T"
Ho 9.224 4.679 5.870
Ho 7.604 2.366 9.458
Ho 3.958 1.554 4.383
Ho 12.870 5.491 10.945
Pm 7.184 0.759 5.895
Pm 6.305 4.628 3.680
Pm 10.523 2.416 11.648
Pm 4.031 2.416 8.717
Pm 12.797 4.628 6.612
Pm 6.273 6.286 7.911
Pm 10.555 0.759 7.417
Pm 5.948 3.522 6.551
Pm 9.645 6.286 9.433
Pm 10.880 3.522 8.778
Pr 0.000 0.000 0.000
```

## Properties
- formation energy (eV/atom) = 0.44
- total magnetization (Bohr magnetons per cell) = 0.000
- crystal system = tetragonal

***

(6)
A relaxed structure of Pm2Pr4Ho3. Source: the Alexandria database, functional PBE-GGA.

```
9
Lattice="-4.711 0.075 2.089 -0.566 -3.498 5.201 3.747 6.069 8.256" Properties=species:S:1:pos:R:3 pbc="T T T"
Pm 1.150 3.555 8.841
Pm -2.680 -0.909 6.704
Pr -2.210 4.103 7.601
Pr -0.189 3.106 12.196
Pr 0.680 -1.457 7.945
Pr -1.341 -0.460 3.349
Ho -1.441 1.071 9.437
Ho 0.000 0.000 0.000
Ho -0.089 1.575 6.108
```

## Properties
- formation energy (eV/atom) = 0.02
- total magnetization (Bohr magnetons per cell) = 0.000
- relative energy among the computed polymorphs (eV/atom) = 0.000
- crystal system = triclinic

***

no.,VASP energy (eV per atom)
1,-4.618
2,-4.252
3,-4.678
4,-4.708
5,-4.263
6,-4.688